The following is a DFT calculation (PBE) of a geometry-optimized Na3Pr3RuO8 structure.

a b c (Å): 6.888 6.888 6.888
angles (deg): 61.16 61.16 61.16
Fractional positions:
Na1 0.000 0.500 0.500
Na2 0.500 0.000 0.500
Na3 0.500 0.500 0.000
Pr1 0.000 0.000 0.500
Pr2 0.000 0.500 0.000
Pr3 0.500 0.000 0.000
Ru1 0.500 0.500 0.500
O1 0.240 0.240 0.240
O2 0.275 0.713 0.713
O3 0.287 0.287 0.725
O4 0.287 0.725 0.287
O5 0.713 0.275 0.713
O6 0.713 0.713 0.275
O7 0.725 0.287 0.287
O8 0.760 0.760 0.760

Calculated values
Symmetry: R-3m (166)
V (Å³/cell): 237.1
Final energy (eV/atom): -6.687
Raw formation energy (kJ/mol of formula units): -3191